[1]
! HfCo2Pb PBE relaxed; values from VASP
! density = 11.745 g/cm3
! volume = 285 Å³/cell
! symmetry = I-42d, No. 122
! DFT formation energy = 0.467 eV per atom
&SYSTEM
  ibrav = 0, nat = 16, ntyp = 3
/
ATOMIC_SPECIES
Hf 178.49 Hf.upf
Co 58.93 Co.upf
Pb 207.20 Pb.upf
CELL_PARAMETERS angstrom
6.974 0.000 0.000
0.000 6.974 0.000
0.000 0.000 5.856
ATOMIC_POSITIONS angstrom
Hf 0.000 0.000 0.000
Hf 0.000 3.487 1.464
Hf 3.487 0.000 4.392
Hf 3.487 3.487 2.928
Co 1.595 1.743 0.732
Co 1.743 5.082 2.196
Co 1.743 5.379 5.124
Co 1.892 1.743 3.660
Co 5.082 5.230 3.660
Co 5.230 1.595 5.124
Co 5.230 1.892 2.196
Co 5.379 5.230 0.732
Pb 0.000 0.000 2.928
Pb 0.000 3.487 4.392
Pb 3.487 0.000 1.464
Pb 3.487 3.487 0.000

[2]
! Hf8Co2Pb PBE relaxed; values from VASP
! density = 12.558 g/cm3
! volume = 232 Å³/cell
! symmetry = C2/m, No. 12
! DFT formation energy = -0.075 eV per atom
&SYSTEM
  ibrav = 0, nat = 11, ntyp = 3
/
ATOMIC_SPECIES
Hf 178.49 Hf.upf
Co 58.93 Co.upf
Pb 207.20 Pb.upf
CELL_PARAMETERS angstrom
3.830 -6.169 0.000
3.830 6.169 0.000
-1.430 0.000 4.906
ATOMIC_POSITIONS angstrom
Hf -0.483 0.000 3.923
Hf 1.576 1.538 2.141
Hf 3.830 3.169 0.000
Hf 1.576 -1.538 2.141
Hf 4.653 1.538 2.765
Hf 3.830 -3.169 0.000
Hf 4.653 -1.538 2.765
Hf 6.712 0.000 0.983
Co 3.114 3.593 2.453
Co 3.114 -3.593 2.453
Pb 3.830 0.000 0.000

[3]
! Hf2Co2Pb PBE relaxed; values from VASP
! density = 11.762 g/cm3
! volume = 193 Å³/cell
! symmetry = I4/mmm, No. 139
! DFT formation energy = 0.040 eV per atom
&SYSTEM
  ibrav = 0, nat = 10, ntyp = 3
/
ATOMIC_SPECIES
Hf 178.49 Hf.upf
Co 58.93 Co.upf
Pb 207.20 Pb.upf
CELL_PARAMETERS angstrom
3.411 0.000 0.000
0.000 3.411 0.000
0.000 0.000 16.552
ATOMIC_POSITIONS angstrom
Hf 0.000 0.000 2.241
Hf 0.000 0.000 14.311
Hf 1.706 1.706 6.035
Hf 1.706 1.706 10.517
Co 0.000 1.706 4.138
Co 0.000 1.706 12.414
Co 1.706 0.000 4.138
Co 1.706 0.000 12.414
Pb 0.000 0.000 8.276
Pb 1.706 1.706 0.000

[4]
! Hf2CoPbS PBE relaxed; values from VASP
! density = 9.281 g/cm3
! formation energy from raw total energies = 0.461 eV per atom
! volume = 117 Å³/cell
! symmetry = P4/mmm, No. 123
&SYSTEM
  ibrav = 0, nat = 5, ntyp = 4
/
ATOMIC_SPECIES
Hf 178.49 Hf.upf
Co 58.93 Co.upf
Pb 207.20 Pb.upf
S 32.06 S.upf
CELL_PARAMETERS angstrom
4.694 0.000 0.000
0.000 4.694 0.000
0.000 0.000 5.320
ATOMIC_POSITIONS angstrom
Hf 0.000 2.347 0.000
Hf 2.347 0.000 0.000
Co 0.000 0.000 2.660
Pb 2.347 2.347 2.660
S 2.347 2.347 0.000

[5]
! HfSc2CoPb PBE relaxed; values from VASP
! density = 5.977 g/cm3
! volume = 149 Å³/cell
! symmetry = P4/mmm, No. 123
! relative energy among the computed polymorphs = 148.2 kJ per mole of atoms
! DFT formation energy = 1.389 eV per atom
&SYSTEM
  ibrav = 0, nat = 5, ntyp = 4
/
ATOMIC_SPECIES
Hf 178.49 Hf.upf
Sc 44.96 Sc.upf
Co 58.93 Co.upf
Pb 207.20 Pb.upf
CELL_PARAMETERS angstrom
5.263 0.000 0.000
0.000 5.263 0.000
0.000 0.000 5.361
ATOMIC_POSITIONS angstrom
Hf 0.000 0.000 0.000
Sc 0.000 2.632 2.680
Sc 2.632 0.000 2.680
Co 2.632 2.632 0.000
Pb 0.000 0.000 2.680

[6]
! HfSc2CoPb PBE relaxed; values from VASP
! density = 7.901 g/cm3
! volume = 112 Å³/cell
! symmetry = P4/mmm, No. 123
! relative energy among the computed polymorphs = 0.0 kJ per mole of atoms
! DFT formation energy = -0.146 eV per atom
&SYSTEM
  ibrav = 0, nat = 5, ntyp = 4
/
ATOMIC_SPECIES
Hf 178.49 Hf.upf
Sc 44.96 Sc.upf
Co 58.93 Co.upf
Pb 207.20 Pb.upf
CELL_PARAMETERS angstrom
4.838 0.000 0.000
0.000 4.838 0.000
0.000 0.000 4.800
ATOMIC_POSITIONS angstrom
Hf 0.000 0.000 0.000
Sc 0.000 2.419 2.400
Sc 2.419 0.000 2.400
Co 0.000 0.000 2.400
Pb 2.419 2.419 0.000

[7]
! HfTlCo2Pb PBE relaxed; values from VASP
! density = 9.452 g/cm3
! volume = 124 Å³/cell
! symmetry = P4/mmm, No. 123
! DFT formation energy = 1.489 eV per atom
&SYSTEM
  ibrav = 0, nat = 5, ntyp = 4
/
ATOMIC_SPECIES
Hf 178.49 Hf.upf
Tl 204.38 Tl.upf
Co 58.93 Co.upf
Pb 207.20 Pb.upf
CELL_PARAMETERS angstrom
4.727 0.000 0.000
0.000 4.727 0.000
0.000 0.000 5.566
ATOMIC_POSITIONS angstrom
Hf 0.000 0.000 0.000
Tl 2.363 2.363 2.783
Co 0.000 2.363 2.783
Co 2.363 0.000 2.783
Pb 2.363 2.363 0.000

[8]
! HfVCo2Pb PBE relaxed; values from VASP
! density = 9.862 g/cm3
! volume = 93 Å³/cell
! symmetry = P4/mmm, No. 123
! DFT formation energy = 0.844 eV per atom
&SYSTEM
  ibrav = 0, nat = 5, ntyp = 4
/
ATOMIC_SPECIES
Hf 178.49 Hf.upf
V 50.94 V.upf
Co 58.93 Co.upf
Pb 207.20 Pb.upf
CELL_PARAMETERS angstrom
4.343 0.000 0.000
0.000 4.343 0.000
0.000 0.000 4.950
ATOMIC_POSITIONS angstrom
Hf 0.000 0.000 0.000
V 0.000 0.000 2.475
Co 0.000 2.172 2.475
Co 2.172 0.000 2.475
Pb 2.172 2.172 0.000

[9]
! HfCoPb2W PBE relaxed; values from VASP
! density = 9.210 g/cm3
! volume = 151 Å³/cell
! symmetry = P4/mmm, No. 123
! DFT formation energy = 1.905 eV per atom
&SYSTEM
  ibrav = 0, nat = 5, ntyp = 4
/
ATOMIC_SPECIES
Hf 178.49 Hf.upf
Co 58.93 Co.upf
Pb 207.20 Pb.upf
W 183.84 W.upf
CELL_PARAMETERS angstrom
5.555 0.000 0.000
0.000 5.555 0.000
0.000 0.000 4.883
ATOMIC_POSITIONS angstrom
Hf 0.000 0.000 0.000
Co 2.777 2.777 2.442
Pb 0.000 2.777 0.000
Pb 2.777 0.000 0.000
W 0.000 0.000 2.442

[10]
! Hf5CoPd2 PBE relaxed; values from VASP
! density = 12.595 g/cm3
! volume = 307 Å³/cell
! symmetry = Pbam, No. 55
! DFT formation energy = -0.382 eV per atom
&SYSTEM
  ibrav = 0, nat = 16, ntyp = 3
/
ATOMIC_SPECIES
Hf 178.49 Hf.upf
Co 58.93 Co.upf
Pd 106.42 Pd.upf
CELL_PARAMETERS angstrom
6.591 0.000 0.000
0.000 10.569 0.000
0.000 0.000 4.407
ATOMIC_POSITIONS angstrom
Hf 0.000 0.000 0.000
Hf 0.981 3.067 0.000
Hf 1.119 6.241 2.203
Hf 2.176 0.957 2.203
Hf 2.314 8.351 0.000
Hf 3.295 5.285 0.000
Hf 4.276 2.218 0.000
Hf 4.415 9.613 2.203
Hf 5.471 4.328 2.203
Hf 5.610 7.503 0.000
Co 0.000 5.285 0.000
Co 3.295 0.000 0.000
Pd 0.514 8.952 2.203
Pd 2.781 3.667 2.203
Pd 3.810 6.902 2.203
Pd 6.076 1.618 2.203

[11]
! Hf12Co6Pd PBE relaxed; values from VASP
! density = 12.529 g/cm3
! volume = 345 Å³/cell
! symmetry = Im-3, No. 204
! relative energy among the computed polymorphs = 0.0 kJ per mole of atoms
! DFT formation energy = -0.318 eV per atom
&SYSTEM
  ibrav = 0, nat = 19, ntyp = 3
/
ATOMIC_SPECIES
Hf 178.49 Hf.upf
Co 58.93 Co.upf
Pd 106.42 Pd.upf
CELL_PARAMETERS angstrom
-4.418 4.418 4.418
4.418 -4.418 4.418
4.418 4.418 -4.418
ATOMIC_POSITIONS angstrom
Hf 4.418 -1.810 2.802
Hf 2.608 1.616 0.000
Hf 6.227 1.616 0.000
Hf 2.802 4.418 -1.810
Hf 1.616 0.000 2.608
Hf 0.000 2.608 1.616
Hf 4.418 1.810 2.802
Hf 2.802 4.418 1.810
Hf 1.616 0.000 6.227
Hf -1.810 2.802 4.418
Hf 1.810 2.802 4.418
Hf 0.000 6.227 1.616
Co 4.418 0.000 1.216
Co 4.418 3.201 0.000
Co 1.216 4.418 0.000
Co 3.201 0.000 4.418
Co 0.000 1.216 4.418
Co 0.000 4.418 3.201
Pd 0.000 0.000 0.000

[12]
! Hf8Co3Pd2 PBE relaxed; values from VASP
! density = 12.274 g/cm3
! volume = 246 Å³/cell
! symmetry = C2/m, No. 12
! DFT formation energy = -0.213 eV per atom
&SYSTEM
  ibrav = 0, nat = 13, ntyp = 3
/
ATOMIC_SPECIES
Hf 178.49 Hf.upf
Co 58.93 Co.upf
Pd 106.42 Pd.upf
CELL_PARAMETERS angstrom
7.299 -3.189 0.000
7.299 3.189 0.000
-0.382 0.000 5.282
ATOMIC_POSITIONS angstrom
Hf 0.641 0.000 1.403
Hf 5.255 1.645 0.990
Hf 4.819 0.000 3.650
Hf 8.961 1.645 4.292
Hf 5.255 -1.645 0.990
Hf 9.397 0.000 1.632
Hf 8.961 -1.645 4.292
Hf 13.575 0.000 3.879
Co 7.108 1.114 2.641
Co 7.299 0.000 0.000
Co 7.108 -1.114 2.641
Pd 3.204 0.000 1.374
Pd 11.012 0.000 3.908

Repeat the tenth record exactly.
! Hf5CoPd2 PBE relaxed; values from VASP
! density = 12.595 g/cm3
! volume = 307 Å³/cell
! symmetry = Pbam, No. 55
! DFT formation energy = -0.382 eV per atom
&SYSTEM
  ibrav = 0, nat = 16, ntyp = 3
/
ATOMIC_SPECIES
Hf 178.49 Hf.upf
Co 58.93 Co.upf
Pd 106.42 Pd.upf
CELL_PARAMETERS angstrom
6.591 0.000 0.000
0.000 10.569 0.000
0.000 0.000 4.407
ATOMIC_POSITIONS angstrom
Hf 0.000 0.000 0.000
Hf 0.981 3.067 0.000
Hf 1.119 6.241 2.203
Hf 2.176 0.957 2.203
Hf 2.314 8.351 0.000
Hf 3.295 5.285 0.000
Hf 4.276 2.218 0.000
Hf 4.415 9.613 2.203
Hf 5.471 4.328 2.203
Hf 5.610 7.503 0.000
Co 0.000 5.285 0.000
Co 3.295 0.000 0.000
Pd 0.514 8.952 2.203
Pd 2.781 3.667 2.203
Pd 3.810 6.902 2.203
Pd 6.076 1.618 2.203

What is the formula in the ninth record?
HfCoPb2W